This record from Alexandria via LeMat-Bulk describes an optimized crystal structure of PrErIrI. The functional is GGA-PBE.

The formation energy (no corrections) is -0.946 eV/atom. The density of states at the Fermi level comes out at 0.164 states/eV/atom. Its total DFT energy (no corrections) is -5.884 eV per atom. The value obtained for the spin magnetization is 0.00 μB per formula unit.

It has space group R3m (No. 160, hexagonal axes), with a = 4.1666 Å, b = 4.1666 Å, c = 24.1072 Å, α = 90.00°, β = 90.00° and γ = 120.00°. Symmetry generates all atoms from Pr at (0.0000, 0.0000, 0.0000), Er at (0.0000, 0.0000, 0.2131), Ir at (0.0000, 0.0000, 0.6023) and I at (0.0000, 0.0000, 0.7764).

This record from Alexandria via LeMat-Bulk describes an optimized crystal structure of NpMnSe3. The functional is GGA-PBE.

The formation energy (no corrections) is -0.744 eV/atom. The density of states at the Fermi level comes out at 1.617 states/eV/atom. Its total DFT energy (no corrections) is -7.257 eV per atom. The value obtained for the spin magnetization is 3.86 μB per formula unit.

It has space group Cm (No. 8), with a = 11.992 Å, b = 3.786 Å, c = 10.475 Å, α = 90.00°, β = 104.65° and γ = 90.00°. Symmetry generates all atoms from Np at (0.000, 0.000, 0.000), Np at (0.085, 0.000, 0.719), Mn at (0.286, 0.000, 0.527), Mn at (0.295, 0.500, 0.193), Se at (0.150, 0.500, 0.547), Se at (0.178, 0.000, 0.246), Se at (0.181, 0.500, 0.939), Se at (0.401, 0.500, 0.471), Se at (0.406, 0.000, 0.782) and Se at (0.434, 0.000, 0.169).